1.
# Te3Pb4Se

A relaxed Te3Pb4Se crystal (GGA-PBE, Alexandria via LeMat-Bulk).

Geometry as CIF:
```
data_Te3Pb4Se
_chemical_formula_sum 'Te6 Pb8 Se2'
_space_group_name_H-M_alt 'C m m m'
_space_group_IT_number 65
_space_group_name_Hall '-C 2 2'
_cell_length_a 9.1618
_cell_length_b 12.9423
_cell_length_c 4.5710
_cell_angle_alpha 90.00
_cell_angle_beta 90.00
_cell_angle_gamma 90.00
loop_
_atom_site_label
_atom_site_type_symbol
_atom_site_fract_x
_atom_site_fract_y
_atom_site_fract_z
Te1 Te 0.0000 0.0000 0.0000
Te2 Te 0.2500 0.2500 0.5000
Pb1 Pb 0.0000 0.2555 0.0000
Pb2 Pb 0.2391 0.5000 0.5000
Se1 Se 0.0000 0.5000 0.0000
```

Properties
- M_tot: 0.0 μB/cell
- Raw formation energy: -436 meV per atom

=====

2.
# TePb5Se4

A relaxed TePb5Se4 crystal (GGA-PBE, Alexandria via LeMat-Bulk).

Geometry as CIF:
```
data_TePb5Se4
_chemical_formula_sum 'Te2 Pb10 Se8'
_space_group_name_H-M_alt 'I 4/m m m'
_space_group_IT_number 139
_space_group_name_Hall '-I 4 2'
_cell_length_a 4.4474
_cell_length_b 4.4474
_cell_length_c 31.3902
_cell_angle_alpha 90.00
_cell_angle_beta 90.00
_cell_angle_gamma 90.00
loop_
_atom_site_label
_atom_site_type_symbol
_atom_site_fract_x
_atom_site_fract_y
_atom_site_fract_z
Te1 Te 0.0000 0.0000 0.0000
Pb1 Pb 0.0000 0.0000 0.1036
Pb2 Pb 0.0000 0.0000 0.3003
Pb3 Pb 0.0000 0.0000 0.5000
Se1 Se 0.0000 0.0000 0.2013
Se2 Se 0.0000 0.0000 0.3991
```

Properties
- M_tot: 0.0 μB/cell
- Raw formation energy: -519 meV per atom